# 1
VASP calculation (PBE-GGA) on an optimized crystal structure of PuMgRhPb.

a = 4.998 Å, b = 4.998 Å, c = 4.998 Å
α = 60.00°, β = 60.00°, γ = 60.00°
Site moments in Bohr magnetons follow the coordinates.
Element x y z (fractional)
Mg 0.250 0.250 0.250  0.00
Rh 0.000 0.000 0.000  -0.30
Pu 0.750 0.750 0.750  5.21
Pb 0.500 0.500 0.500  -0.01

Summary:
ΔE_f	-0.118	eV/atom
raw total energy	-27.46	eV per cell

=====

# 2
VASP calculation (PBE-GGA) on an optimized crystal structure of PuMgRuPb.

a = 3.256 Å, b = 3.256 Å, c = 8.317 Å
α = 90.00°, β = 90.00°, γ = 90.00°
Site moments in Bohr magnetons follow the coordinates.
Element x y z (fractional)
Pu 0.500 0.500 0.378  5.02
Mg 0.500 0.500 0.771  0.00
Ru 0.000 0.000 0.581  -0.59
Pb 0.000 0.000 0.054  -0.03

Summary:
ΔE_f	-0.092	eV/atom
raw total energy	-29.28	eV per cell

=====

Question: Which of these has the highest raw total energy?
Answer: PuMgRhPb